Computed, not measured: a relaxed structure of ErTm2In3Pt2 at the PBE level of DFT.

Lattice parameters (Å, degrees): 3.583 7.669 7.669 120.02 90.00 90.00
Fractional positions:
Er 0.000 0.000 0.000
Tm 0.000 0.157 0.579
Tm 0.000 0.579 0.157
In 0.500 0.348 0.348
In 0.500 0.579 0.809
In 0.500 0.809 0.579
Pt 0.500 0.245 0.912
Pt 0.500 0.912 0.245

Properties
M_tot (μB per cell): 0.0
Space group: Amm2 (38)
Density (g/cm3): 11.28
Calculated total energy (eV per atom): -5.1220

---

Computed, not measured: a relaxed structure of YErIn2Pt4 at the PBE level of DFT.

Lattice parameters (Å, degrees): 4.576 4.576 9.010 90.00 90.00 120.00
Fractional positions:
Y 0.000 0.000 0.000
Er 0.667 0.333 0.500
In 0.333 0.667 0.251
In 0.333 0.667 0.749
Pt 0.000 0.000 0.344
Pt 0.000 0.000 0.656
Pt 0.667 0.333 0.160
Pt 0.667 0.333 0.840

Properties
M_tot (μB per cell): 0.0
Space group: P-6m2 (187)
Density (g/cm3): 12.87
Calculated total energy (eV per atom): -6.0593

---

Computed, not measured: a relaxed structure of RbErInSe3 at the PBE level of DFT.

Lattice parameters (Å, degrees): 8.335 8.335 11.626 90.00 90.00 150.80
Fractional positions:
Rb 0.217 0.783 0.750
Rb 0.783 0.217 0.250
Er 0.500 0.500 0.000
Er 0.500 0.500 0.500
In 0.083 0.917 0.250
In 0.917 0.083 0.750
Se 0.120 0.880 0.017
Se 0.120 0.880 0.483
Se 0.470 0.530 0.250
Se 0.530 0.470 0.750
Se 0.880 0.120 0.517
Se 0.880 0.120 0.983

Properties
M_tot (μB per cell): 0.0
Space group: Cmcm (63)
Density (g/cm3): 5.09
Calculated total energy (eV per atom): -4.2813

---

Computed, not measured: a relaxed structure of RbErInTe3 at the PBE level of DFT.

Lattice parameters (Å, degrees): 8.609 8.609 12.189 90.00 90.00 149.43
Fractional positions:
Rb 0.247 0.753 0.750
Rb 0.753 0.247 0.250
Er 0.500 0.500 0.000
Er 0.500 0.500 0.500
In 0.058 0.942 0.250
In 0.942 0.058 0.750
Te 0.126 0.874 0.025
Te 0.126 0.874 0.475
Te 0.444 0.556 0.250
Te 0.556 0.444 0.750
Te 0.874 0.126 0.525
Te 0.874 0.126 0.975

Properties
M_tot (μB per cell): 0.0
Space group: Cmcm (63)
Density (g/cm3): 5.42
Calculated total energy (eV per atom): -3.8366

---

Computed, not measured: a relaxed structure of Er3InS6 at the PBE level of DFT.

Lattice parameters (Å, degrees): 13.374 16.491 3.828 90.00 90.00 90.00
Fractional positions:
Er 0.035 0.225 0.250
Er 0.192 0.644 0.249
Er 0.248 0.390 0.237
Er 0.252 0.890 0.763
Er 0.308 0.144 0.751
Er 0.465 0.725 0.750
Er 0.535 0.275 0.750
Er 0.692 0.856 0.751
Er 0.748 0.110 0.763
Er 0.752 0.610 0.237
Er 0.808 0.356 0.249
Er 0.965 0.775 0.250
In 0.000 0.000 0.854
In 0.000 0.500 0.747
In 0.500 0.000 0.253
In 0.500 0.500 0.146
S 0.020 0.394 0.246
S 0.102 0.908 0.268
S 0.107 0.119 0.752
S 0.117 0.744 0.751
S 0.179 0.284 0.741
S 0.195 0.520 0.747
S 0.305 0.020 0.253
S 0.321 0.784 0.259
S 0.383 0.244 0.249
S 0.393 0.619 0.248
S 0.398 0.408 0.732
S 0.480 0.894 0.754
S 0.520 0.106 0.754
S 0.602 0.592 0.732
S 0.607 0.381 0.248
S 0.617 0.756 0.249
S 0.679 0.216 0.259
S 0.695 0.980 0.253
S 0.805 0.480 0.747
S 0.821 0.716 0.741
S 0.883 0.256 0.751
S 0.893 0.881 0.752
S 0.898 0.092 0.268
S 0.980 0.606 0.246

Properties
M_tot (μB per cell): 0.0
Space group: P2_12_12 (18)
Density (g/cm3): 6.36
Calculated total energy (eV per atom): -5.7881

---

Computed, not measured: a relaxed structure of ErZnInS3 at the PBE level of DFT.

Lattice parameters (Å, degrees): 11.317 4.024 11.871 90.00 90.00 90.00
Fractional positions:
Er 0.025 0.250 0.167
Er 0.475 0.750 0.667
Er 0.525 0.250 0.333
Er 0.975 0.750 0.833
Zn 0.247 0.750 0.305
Zn 0.253 0.250 0.805
Zn 0.747 0.750 0.195
Zn 0.753 0.250 0.695
In 0.158 0.250 0.516
In 0.342 0.750 0.016
In 0.658 0.250 0.984
In 0.842 0.750 0.484
S 0.042 0.750 0.323
S 0.101 0.250 0.939
S 0.228 0.750 0.697
S 0.272 0.250 0.197
S 0.399 0.750 0.439
S 0.458 0.250 0.823
S 0.542 0.750 0.177
S 0.601 0.250 0.561
S 0.728 0.750 0.803
S 0.772 0.250 0.303
S 0.899 0.750 0.061
S 0.958 0.250 0.677

Properties
M_tot (μB per cell): 0.0
Space group: Pnma (62)
Density (g/cm3): 5.45
Energy above the most stable polymorph in this dataset (eV/f.u.): 0.30
Calculated total energy (eV per atom): -4.6000

---

Computed, not measured: a relaxed structure of ErZnInS3 at the PBE level of DFT.

Lattice parameters (Å, degrees): 7.299 7.299 10.447 90.00 90.00 148.81
Fractional positions:
Er 0.000 0.000 0.000
Er 0.000 0.000 0.500
Zn 0.459 0.541 0.750
Zn 0.541 0.459 0.250
In 0.254 0.746 0.250
In 0.746 0.254 0.750
S 0.061 0.939 0.750
S 0.374 0.626 0.561
S 0.374 0.626 0.939
S 0.626 0.374 0.061
S 0.626 0.374 0.439
S 0.939 0.061 0.250

Properties
M_tot (μB per cell): 0.0
Space group: Cmcm (63)
Density (g/cm3): 5.11
Energy above the most stable polymorph in this dataset (eV/f.u.): 0.00
Calculated total energy (eV per atom): -4.6501

---

Computed, not measured: a relaxed structure of ErTmSc2In2 at the PBE level of DFT.

Lattice parameters (Å, degrees): 5.157 5.157 6.521 90.00 90.00 120.00
Fractional positions:
Er 0.000 0.000 0.000
Tm 0.000 0.000 0.500
Sc 0.333 0.667 0.250
Sc 0.667 0.333 0.750
In 0.333 0.667 0.750
In 0.667 0.333 0.250

Properties
M_tot (μB per cell): 0.1
Space group: P-3m1 (164)
Density (g/cm3): 7.25
Calculated total energy (eV per atom): -4.8969

---

Question: Among the records above, which one has the lowest density?
Answer: RbErInSe3

---

Question: density of number 4 (RbErInTe3)?
Answer: 5.42 g/cm3

---

Question: density of number 6 (ErZnInS3)?
Answer: 5.45 g/cm3